The following is a DFT calculation (PBE) of KPaCl6 after structural relaxation.

The structure in CIF format:
```
data_KPaCl6
_cell_length_a 7.2245
_cell_length_b 7.2245
_cell_length_c 7.8479
_cell_angle_alpha 62.59
_cell_angle_beta 62.59
_cell_angle_gamma 60.00
_space_group_name_H-M_alt 'P 1'
_space_group_IT_number 1
loop_
_space_group_symop_operation_xyz
'x,y,z'
loop_
_atom_site_label
_atom_site_type_symbol
_atom_site_fract_x
_atom_site_fract_y
_atom_site_fract_z
_atom_site_occupancy
Pa1 Pa 0.0000 0.0000 0.0000 1
Cl1 Cl 0.0906 0.0906 0.2254 1
Cl2 Cl 0.9094 0.9094 0.7746 1
Cl3 Cl 0.0906 0.5934 0.2254 1
Cl4 Cl 0.9094 0.4066 0.7746 1
Cl5 Cl 0.4066 0.9094 0.7746 1
Cl6 Cl 0.5934 0.0906 0.2254 1
K1 K 0.5000 0.5000 0.5000 1
```

Properties
The total energy is -0.1688 Ha/atom. The calculation puts the raw formation energy at -1.89 eV per atom. For the excess energy over the best structure of this formula in the dataset, the calculation gives 44 meV/atom.